Model A:
NaBiPd4 | PBE-GGA | optimized geometry

Computed properties:
M_tot   0.0 Bohr magnetons per cell
Symmetry   C2/m (12)

extended XYZ file:
```
12
Lattice="9.327 0.000 0.000 0.000 4.074 0.000 -1.929 0.000 5.581" Properties=species:S:1:pos:R:3 pbc="T T T"
Na 0.000 0.000 0.000
Na 4.664 2.037 0.000
Bi -0.965 0.000 2.791
Bi 3.699 2.037 2.791
Pd 0.916 2.037 1.850
Pd -0.018 2.037 4.656
Pd 2.753 0.000 0.925
Pd 1.818 0.000 3.731
Pd 5.580 0.000 1.850
Pd 4.645 0.000 4.656
Pd 7.416 2.037 0.925
Pd 6.482 2.037 3.731
```



Model B:
NaBiPd4 | PBE-GGA | optimized geometry

Computed properties:
M_tot   0.0 Bohr magnetons per cell
Symmetry   F-43m (216)

extended XYZ file:
```
6
Lattice="0.000 3.827 3.827 3.827 0.000 3.827 3.827 3.827 0.000" Properties=species:S:1:pos:R:3 pbc="T T T"
Na 0.000 0.000 0.000
Bi 5.741 5.741 5.741
Pd 2.871 2.871 2.871
Pd 4.783 4.783 2.871
Pd 4.783 2.871 4.783
Pd 2.871 4.783 4.783
```



It is model B that is the most stable of them.